Tb12PmSm7: relaxed, PBE.

Cell: 9.8235 9.8235 9.8235 Å, 109.47 109.47 109.47°
With the nearest neighbours (Å) after each atom.
Atoms (fractional coordinates):
1 Sm 0.0000 0.5000 0.5000  12 Tb 4.00-4.01
2 Sm 0.5000 0.5000 0.5000  6 Tb 2.84
3 Sm 0.0000 0.5000 0.0000  6 Tb 2.84
4 Tb 0.7494 0.2505 0.9999  2 Sm 2.84
5 Tb 0.2506 0.7495 0.0001  2 Sm 2.84
6 Tb 0.7494 0.7495 0.4989  2 Sm 2.84
7 Tb 0.2505 0.9999 0.7494  2 Sm 2.84
8 Tb 0.7495 0.0001 0.2506  2 Sm 2.84
9 Tb 0.2505 0.5011 0.2506  2 Sm 2.84
10 Sm 0.5000 0.0000 0.0000  6 Tb 2.84
11 Sm 0.0000 0.0000 0.5000  6 Tb 2.84
12 Sm 0.5000 0.5000 0.0000  12 Tb 4.00-4.01
13 Tb 0.2506 0.2505 0.5011  2 Sm 2.84
14 Tb 0.7495 0.4989 0.7494  2 Sm 2.84
15 Pm 0.0000 0.0000 0.0000  12 Tb 4.02
16 Sm 0.5000 0.0000 0.5000  12 Tb 4.00-4.01
17 Tb 0.9999 0.7494 0.2505  2 Sm 2.84
18 Tb 0.0001 0.2506 0.7495  2 Sm 2.84
19 Tb 0.4989 0.7494 0.7495  2 Sm 2.84
20 Tb 0.5011 0.2506 0.2505  2 Sm 2.84

Computed properties:
The density of states at the Fermi level is 25.52 states/eV/f.u. For the polymorph energy (0 for the lowest one), the calculation gives 35.10 kJ per mole of atoms. Its density is 7.06 g cm⁻³. The calculation puts the formation energy at 0.6414 eV per atom. As for the crystal system: cubic.

---

PrSmPu2Te5: relaxed, PBE.

Cell: 5.6276 5.6276 11.9019 Å, 90.00 90.00 90.00°
With the nearest neighbours (Å) after each atom.
Atoms (fractional coordinates):
1 Te 0.5000 0.0000 0.5000  2 Sm 2.81
2 Pu 0.5000 0.5000 0.6684  4 Te 3.45
3 Pu 0.5000 0.5000 0.3316  4 Te 3.45
4 Pr 0.0000 0.0000 0.0000  2 Te 2.95
5 Te 0.0000 0.0000 0.2475  1 Pr 2.95, 1 Sm 3.01
6 Te 0.5000 0.5000 0.0000  2 Pu 3.95, 4 Pr 3.98
7 Te 0.0000 0.5000 0.5000  2 Sm 2.81
8 Sm 0.0000 0.0000 0.5000  6 Te 2.81-3.01
9 Te 0.0000 0.0000 0.7525  1 Pr 2.95, 1 Sm 3.01

Computed properties:
The density of states at the Fermi level is 33.08 states/eV/f.u. The calculation puts the uncorrected formation energy at -0.6577 eV per atom. Its density is 6.24 g cm⁻³. As for the crystal system: tetragonal.

---

MnCdS2N: relaxed, PBE.

Cell: 4.8090 4.8090 3.5030 Å, 90.00 90.00 90.00°
With the nearest neighbours (Å) after each atom.
Atoms (fractional coordinates):
1 S 0.5000 0.0000 0.0000  2 Mn 2.40
2 S 0.0000 0.5000 0.0000  2 Mn 2.40
3 Mn 0.0000 0.0000 0.0000  2 N 1.75
4 N 0.0000 0.0000 0.5000  2 Mn 1.75
5 Cd 0.5000 0.5000 0.5000  8 S 2.97

Computed properties:
The density of states at the Fermi level is 1.95 states/eV/f.u. The calculation puts the uncorrected formation energy at 0.0899 eV per atom. For the polymorph energy (0 for the lowest one), the calculation gives 0.00 kJ per mole of atoms. Its density is 5.03 g cm⁻³. As for the crystal system: tetragonal.

---

- Which value of density does entry 1 give?
  7.06 g cm⁻³

---

- Which formula does entry 3 have?
  MnCdS2N

---

- Which of these has the highest density?
  Tb12PmSm7

---

- Which formula does entry 3 have?
  MnCdS2N